Density functional theory data (GGA-PBE) for a relaxed ZrTi5Pd8 crystal.

Properties
The symmetry is I-4 (82). Its total energy is -95.8 eV per cell. As for the theoretical density: 8.33 g/cm³.

Lattice parameters (Å, degrees): 6.738 6.738 6.738 109.95 109.95 108.52
Element x y z (fractional)
Zr 0.000 0.000 0.000
Ti 0.201 0.616 0.147
Ti 0.384 0.531 0.585
Ti 0.469 0.054 0.853
Ti 0.750 0.250 0.500
Ti 0.946 0.799 0.415
Pd 0.112 0.671 0.760
Pd 0.174 0.270 0.764
Pd 0.329 0.088 0.441
Pd 0.506 0.410 0.236
Pd 0.590 0.826 0.096
Pd 0.647 0.888 0.559
Pd 0.730 0.494 0.904
Pd 0.912 0.353 0.240

Density functional theory data (GGA-PBE) for a relaxed Tl2Pd5 crystal.

Properties
For the energy relative to the lowest polymorph listed for this composition, the calculation gives 48 meV/atom. The symmetry is C2/c (15). As for the theoretical density: 12.77 g/cm³.

Lattice parameters (Å, degrees): 7.029 7.029 7.647 93.83 93.83 40.48
Element x y z (fractional)
Tl 0.111 0.721 0.897
Tl 0.279 0.889 0.603
Tl 0.721 0.111 0.397
Tl 0.889 0.279 0.103
Pd 0.031 0.395 0.815
Pd 0.170 0.544 0.541
Pd 0.310 0.690 0.250
Pd 0.395 0.031 0.315
Pd 0.456 0.830 0.959
Pd 0.544 0.170 0.041
Pd 0.605 0.969 0.685
Pd 0.690 0.310 0.750
Pd 0.830 0.456 0.459
Pd 0.969 0.605 0.185

Density functional theory data (GGA-PBE) for a relaxed Tl2Pd3 crystal.

Properties
For the energy relative to the lowest polymorph listed for this composition, the calculation gives 129 meV/atom. The symmetry is R-3c (167). As for the theoretical density: 11.75 g/cm³.

Lattice parameters (Å, degrees): 6.005 6.005 6.005 78.87 78.87 78.87
Element x y z (fractional)
Tl 0.123 0.123 0.123
Tl 0.377 0.377 0.377
Tl 0.623 0.623 0.623
Tl 0.877 0.877 0.877
Pd 0.054 0.750 0.446
Pd 0.250 0.554 0.946
Pd 0.446 0.054 0.750
Pd 0.554 0.946 0.250
Pd 0.750 0.446 0.054
Pd 0.946 0.250 0.554

Density functional theory data (GGA-PBE) for a relaxed TlPd3 crystal.

Properties
The symmetry is P4/mmm (123). Its total energy is -18.7 eV per cell. As for the theoretical density: 12.77 g/cm³.

Lattice parameters (Å, degrees): 4.080 4.080 4.090 90.00 90.00 90.00
Element x y z (fractional)
Tl 0.000 0.000 0.000
Pd 0.000 0.500 0.500
Pd 0.500 0.000 0.500
Pd 0.500 0.500 0.000

Density functional theory data (GGA-PBE) for a relaxed Tl12Pd crystal.

Properties
The symmetry is Im-3 (204). Its total energy is -33.2 eV per cell. As for the theoretical density: 11.17 g/cm³.

Lattice parameters (Å, degrees): 7.906 7.906 7.906 109.47 109.47 109.47
Element x y z (fractional)
Tl 0.128 0.821 0.306
Tl 0.179 0.306 0.485
Tl 0.179 0.694 0.872
Tl 0.306 0.128 0.821
Tl 0.306 0.485 0.179
Tl 0.485 0.179 0.306
Tl 0.515 0.821 0.694
Tl 0.694 0.515 0.821
Tl 0.694 0.872 0.179
Tl 0.821 0.306 0.128
Tl 0.821 0.694 0.515
Tl 0.872 0.179 0.694
Pd 0.000 0.000 0.000

Density functional theory data (GGA-PBE) for a relaxed TlPd crystal.

Properties
The symmetry is I4/m (87). Its total energy is -61.0 eV per cell. As for the theoretical density: 11.24 g/cm³.

Lattice parameters (Å, degrees): 10.214 10.214 3.522 90.00 90.00 90.00
Element x y z (fractional)
Tl 0.118 0.191 0.000
Tl 0.191 0.882 0.000
Tl 0.309 0.618 0.500
Tl 0.382 0.309 0.500
Tl 0.618 0.691 0.500
Tl 0.691 0.382 0.500
Tl 0.809 0.118 0.000
Tl 0.882 0.809 0.000
Pd 0.085 0.625 0.000
Pd 0.125 0.415 0.500
Pd 0.375 0.085 0.000
Pd 0.415 0.875 0.500
Pd 0.585 0.125 0.500
Pd 0.625 0.915 0.000
Pd 0.875 0.585 0.500
Pd 0.915 0.375 0.000